# 1
A crystal of SrAs2W relaxed with PBEsol. Source: Alexandria via LeMat-Bulk, functional meta-GGA SCAN.

```
SrAs2W
1.0
4.7881 0.0000 0.0000
0.0000 1.8125 5.3187
0.0000 -1.8125 5.3187
Sr As W
1 2 1
direct
0.0000 0.0000 0.0000
0.0000 0.2786 0.2786
0.5000 0.5955 0.5955
0.5000 0.2587 0.2587
```

Results
Crystal system: orthorhombic
Theoretical density (g/cm³): 7.58
DOS at the Fermi energy (states/eV per cell): 0.92
Calculated total energy (eV/atom): -33.194
Symmetry: No. 38
Polymorph energy (0 for the lowest one) (eV/atom): 0.146
Formation energy (meV per atom): -108

# 2
A crystal of SrAs2W relaxed with PBEsol. Source: Alexandria via LeMat-Bulk, functional meta-GGA SCAN.

```
SrAs2W
1.0
-3.0598 3.0598 6.3834
3.0598 -3.0598 6.3834
3.0598 3.0598 -6.3834
Sr As W
2 4 2
direct
0.0000 0.0000 0.0000
0.7500 0.2500 0.5000
0.2297 0.6250 0.1047
0.3750 0.4797 0.6047
0.5203 0.1250 0.8953
0.8750 0.7703 0.3953
0.2500 0.7500 0.5000
0.5000 0.5000 0.0000
```

Results
Crystal system: tetragonal
Theoretical density (g/cm³): 5.85
DOS at the Fermi energy (states/eV per cell): 6.38
Calculated total energy (eV/atom): -33.129
Symmetry: No. 122
Polymorph energy (0 for the lowest one) (eV/atom): 0.211
Formation energy (meV per atom): -43

# 3
A crystal of SrAs2W relaxed with PBEsol. Source: Alexandria via LeMat-Bulk, functional meta-GGA SCAN.

```
SrAs2W
1.0
3.2343 0.0000 0.0000
0.0000 3.2343 0.0000
0.0000 0.0000 7.3272
Sr As W
1 2 1
direct
0.0000 0.0000 0.0000
0.5000 0.5000 0.3035
0.5000 0.5000 0.6965
0.0000 0.0000 0.5000
```

Results
Crystal system: tetragonal
Theoretical density (g/cm³): 9.13
DOS at the Fermi energy (states/eV per cell): 1.18
Calculated total energy (eV/atom): -33.340
Symmetry: No. 123
Polymorph energy (0 for the lowest one) (eV/atom): 0.000
Formation energy (meV per atom): -254